Compound: Y6InSi2Te3
Source: Alexandria
Functional: PBE
Structure: optimized geometry

Lattice parameters (Å, degrees): 9.6953 9.6953 8.7653 104.82 104.82 25.21
Positions (direct):
Y (0.0091, 0.0091, 0.2567)
Y (0.3252, 0.3252, 0.4363)
Y (0.3313, 0.3313, 0.8932)
Y (0.6687, 0.6687, 0.1068)
Y (0.6748, 0.6748, 0.5637)
Y (0.9909, 0.9909, 0.7433)
In (0.5000, 0.5000, 0.0000)
Si (0.1670, 0.1670, 0.3328)
Si (0.8330, 0.8330, 0.6672)
Te (0.1642, 0.1642, 0.8305)
Te (0.5000, 0.5000, 0.5000)
Te (0.8358, 0.8358, 0.1695)

Values from the calculation:
- space group = C2/m (12)
- N(E_F) (states/eV per atom) = 0.48
- formation energy from raw total energies (eV per atom) = -1.013
- uncorrected energy (eV/f.u.) = -73.96

***

Compound: ThInSi
Source: Alexandria
Functional: PBE
Structure: optimized geometry

Lattice parameters (Å, degrees): 9.1931 9.1931 3.8031 90.00 90.00 152.62
Positions (direct):
Th (0.0932, 0.9068, 0.7500)
Th (0.9068, 0.0932, 0.2500)
In (0.2867, 0.7133, 0.7500)
In (0.7133, 0.2867, 0.2500)
Si (0.4583, 0.5417, 0.7500)
Si (0.5417, 0.4583, 0.2500)

Values from the calculation:
- space group = Cmcm (63)
- N(E_F) (states/eV per atom) = 0.81
- formation energy from raw total energies (eV per atom) = -0.420
- uncorrected energy (eV/f.u.) = -16.84

***

> Which of these has the highest uncorrected energy?

ThInSi

***

Copy entry 1 word for word.
Compound: Y6InSi2Te3
Source: Alexandria
Functional: PBE
Structure: optimized geometry

Lattice parameters (Å, degrees): 9.6953 9.6953 8.7653 104.82 104.82 25.21
Positions (direct):
Y (0.0091, 0.0091, 0.2567)
Y (0.3252, 0.3252, 0.4363)
Y (0.3313, 0.3313, 0.8932)
Y (0.6687, 0.6687, 0.1068)
Y (0.6748, 0.6748, 0.5637)
Y (0.9909, 0.9909, 0.7433)
In (0.5000, 0.5000, 0.0000)
Si (0.1670, 0.1670, 0.3328)
Si (0.8330, 0.8330, 0.6672)
Te (0.1642, 0.1642, 0.8305)
Te (0.5000, 0.5000, 0.5000)
Te (0.8358, 0.8358, 0.1695)

Values from the calculation:
- space group = C2/m (12)
- N(E_F) (states/eV per atom) = 0.48
- formation energy from raw total energies (eV per atom) = -1.013
- uncorrected energy (eV/f.u.) = -73.96

***

> N(E_F) of number 1 (Y6InSi2Te3)?

0.48 states/eV per atom

***

> Number 2 is which compound?

ThInSi